Entry 1:
A plane-wave DFT calculation with SCAN was carried out for AlFeSi2 at its PBEsol-relaxed geometry.

DOS(E_F)   5.6 states/eV/cell
Formation energy without anion corrections   392 meV/atom
Symmetry   I-42d (122)

abc: 5.6025 5.6025 5.6025
angles: 99.60 99.60 131.78
Last column: nearest neighbours and their distance in Å.
Element x y z (fractional)
Al 0.0000 0.0000 0.0000  2 Fe 2.29
Al 0.7500 0.2500 0.5000  2 Fe 2.29
Fe 0.2500 0.7500 0.5000  4 Si 2.24, 2 Al 2.29
Fe 0.5000 0.5000 0.0000  4 Si 2.24, 2 Al 2.29
Si 0.2108 0.1250 0.5858  2 Fe 2.24
Si 0.3750 0.7892 0.9142  2 Fe 2.24
Si 0.5392 0.6250 0.4142  2 Fe 2.24
Si 0.8750 0.4608 0.0858  2 Fe 2.24

Entry 2:
A plane-wave DFT calculation with SCAN was carried out for TaCu2Re at its PBEsol-relaxed geometry.

DFT formation energy   0.3 eV per formula unit
DOS(E_F)   2.1 states/eV/cell
Energy above the lowest structure with this stoichiometry   0 meV per atom
Symmetry   Pm (6)

abc: 2.6309 4.1841 5.0680
angles: 90.00 99.38 90.00
Last column: nearest neighbours and their distance in Å.
Element x y z (fractional)
Ta 0.0000 0.0000 0.0000  7 Cu 2.63-2.76, 2 Ta 2.63, 2 Re 2.68
Cu 0.5794 0.5000 0.2425  4 Cu 2.42-2.63, 2 Re 2.68-2.69
Cu 0.6511 0.0000 0.4841  4 Cu 2.42-2.63, 1 Ta 2.63, 2 Re 2.70
Re 0.2395 0.5000 0.7121  2 Re 2.63, 7 Cu 2.68-2.74, 2 Ta 2.68